Model 1:
PBE CoTcSCl2, relaxed; size of the total moment = 4.025 Bohr magnetons per cell; crystal system = tetragonal
1.0
4.549 0.000 0.000
0.000 4.549 0.000
0.000 0.000 4.596
Co Tc S Cl
1 1 1 2
Cartesian
0.000 0.000 0.000
2.274 2.274 2.298
0.000 0.000 2.298
0.000 2.274 0.000
2.274 0.000 0.000

Model 2:
PBE CoTcSCl2, relaxed; size of the total moment = 3.247 Bohr magnetons per cell; crystal system = tetragonal
1.0
4.921 0.000 0.000
0.000 4.921 0.000
0.000 0.000 4.472
Co Tc S Cl
1 1 1 2
Cartesian
0.000 0.000 0.000
2.460 2.460 2.236
2.460 2.460 0.000
0.000 2.460 2.236
2.460 0.000 2.236

Which of them is most stable? Easy: model 1.

Model 1:
PBE VCoSCl2, relaxed; size of the total moment = 0.670 Bohr magnetons per cell; crystal system = tetragonal
1.0
4.468 0.000 0.000
0.000 4.468 0.000
0.000 0.000 4.613
V Co S Cl
1 1 1 2
Cartesian
0.000 0.000 0.000
2.234 2.234 2.307
2.234 2.234 0.000
0.000 2.234 2.307
2.234 0.000 2.307

Model 2:
PBE VCoSCl2, relaxed; size of the total moment = 2.009 Bohr magnetons per cell; crystal system = tetragonal
1.0
4.703 0.000 0.000
0.000 4.703 0.000
0.000 0.000 4.613
V Co S Cl
1 1 1 2
Cartesian
0.000 0.000 0.000
2.352 2.352 2.306
0.000 0.000 2.306
0.000 2.352 0.000
2.352 0.000 0.000

Which of them is most stable? Easy: model 2.